CrMoPd2 | PBE-GGA | relaxed

It has space group Fm-3m (No. 225), with a = 6.283 Å, b = 6.283 Å, c = 6.283 Å, α = 90.00°, β = 90.00° and γ = 90.00°. The distinct sites, in fractional coordinates, are Cr at (0.000, 0.000, 0.000), Mo at (0.000, 0.000, 0.500) and Pd at (0.250, 0.250, 0.250).

For the formation energy, the calculation gives 28.5 kJ per mole of atoms. The energy above the most stable polymorph in this dataset is 113 meV per atom. As for the crystal system: cubic. The calculation puts the volume at 15.502 Å³ per atom.

---

CrMo3Pd | PBE-GGA | relaxed

It has space group Pm-3m (No. 221), with a = 4.438 Å, b = 4.438 Å, c = 4.438 Å, α = 90.00°, β = 90.00° and γ = 90.00°. The distinct sites, in fractional coordinates, are Cr at (0.000, 0.000, 0.000), Mo at (0.000, 0.000, 0.500) and Pd at (0.500, 0.500, 0.500).

For the formation energy, the calculation gives 107.0 kJ per mole of atoms. The energy above the most stable polymorph in this dataset is 0 meV per atom. As for the crystal system: cubic. The calculation puts the volume at 17.480 Å³ per atom.

---

Copy entry 1 word for word.
CrMoPd2 | PBE-GGA | relaxed

It has space group Fm-3m (No. 225), with a = 6.283 Å, b = 6.283 Å, c = 6.283 Å, α = 90.00°, β = 90.00° and γ = 90.00°. The distinct sites, in fractional coordinates, are Cr at (0.000, 0.000, 0.000), Mo at (0.000, 0.000, 0.500) and Pd at (0.250, 0.250, 0.250).

For the formation energy, the calculation gives 28.5 kJ per mole of atoms. The energy above the most stable polymorph in this dataset is 113 meV per atom. As for the crystal system: cubic. The calculation puts the volume at 15.502 Å³ per atom.

---

What is the formula in the second record? CrMo3Pd